Entry from the Alexandria database: GaAsSeBr2 after structural relaxation (GGA-PBE).

Unit cell a=5.6226 b=5.6226 c=5.0066 alpha=90.00 beta=90.00 gamma=90.00
Fractional positions:
Ga 0.0000 0.0000 0.0000
As 0.5000 0.5000 0.0000
Se 0.5000 0.5000 0.5000
Br 0.0000 0.5000 0.5000
Br 0.5000 0.0000 0.5000

Output
* energy: -2.619 eV per atom
* formation energy (no corrections): 282 meV/atom